No. 1
# KGaIBr

Crystalline KGaIBr at its relaxed geometry (PBE, Alexandria via LeMat-Bulk).

Cell lengths 4.781, 5.102, 6.626 Å; angles 89.90, 90.00, 90.00 degrees
Sites, in units of the cell vectors:
K: 0.500 0.401 0.092
Ga: 0.000 0.955 0.593
I: 0.000 0.903 0.093
Br: 0.500 0.307 0.592

Electronic total energy in eV for the cell shown: -11.343
ΔE to the lowest computed polymorph in eV per formula unit: 0.000
SG: Pm (6)
Formation energy from raw total energies in meV/atom: -999.0
V in Å³ per cell: 161.6

No. 2
# La4GaIBr2

Crystalline La4GaIBr2 at its relaxed geometry (PBE, Alexandria via LeMat-Bulk).

Cell lengths 4.489, 8.042, 7.409 Å; angles 109.80, 90.00, 90.00 degrees
Sites, in units of the cell vectors:
La: 0.500 0.282 0.259
La: 0.500 0.718 0.741
La: 0.000 0.281 0.762
La: 0.000 0.719 0.238
Ga: 0.500 0.500 0.000
I: 0.000 0.000 0.000
Br: 0.500 0.000 0.500
Br: 0.000 0.500 0.500

Electronic total energy in eV for the cell shown: -36.210
SG: P2/m (10)
Formation energy from raw total energies in meV/atom: -1072.2
V in Å³ per cell: 251.6

No. 3
# La6Ga2I3Br

Crystalline La6Ga2I3Br at its relaxed geometry (PBE, Alexandria via LeMat-Bulk).

Cell lengths 7.711, 7.711, 8.163 Å; angles 99.04, 99.04, 120.08 degrees
Sites, in units of the cell vectors:
La: 0.928 0.585 0.786
La: 0.725 0.725 0.210
La: 0.072 0.415 0.214
La: 0.585 0.928 0.786
La: 0.275 0.275 0.790
La: 0.415 0.072 0.214
Ga: 0.333 0.667 0.000
Ga: 0.667 0.333 0.000
I: 0.165 0.835 0.500
I: 0.835 0.165 0.500
I: 0.500 0.500 0.500
Br: 0.000 0.000 0.000

Electronic total energy in eV for the cell shown: -53.633
SG: C2/m (12)
Formation energy from raw total energies in meV/atom: -974.2
V in Å³ per cell: 398.6